# 1
# CaRuPt2

Crystalline CaRuPt2 at its relaxed geometry (PBE, Alexandria).

Calculated values
D(E_F) ... 1.240 states/eV/atom
DFT total energy ... -0.2179 Ha/atom
ρ ... 12.9 g cm⁻³
Energy of formation ... -89 meV per atom
Space group ... I-4m2, No. 119
Total magnetization ... 0.83 μB/f.u.
Energy above the most stable polymorph in this dataset ... 171 meV/atom

a = 5.017 Å, b = 5.017 Å, c = 5.017 Å
α = 132.01°, β = 132.01°, γ = 70.21°
Element x y z (fractional)
Ru  0.500  0.500  0.000
Pt  0.250  0.750  0.500
Ca  0.750  0.250  0.500
Pt  0.000  0.000  0.000

---

# 2
# ScTl2InS4

Crystalline ScTl2InS4 at its relaxed geometry (PBE, Alexandria).

Calculated values
D(E_F) ... 0.067 states/eV/atom
DFT total energy ... -0.1706 Ha/atom
ρ ... 6.0 g cm⁻³
Space group ... Imma, No. 74
Total magnetization ... 0.00 μB/f.u.
Energy relative to the elements, uncorrected ... -0.852 eV per atom

a = 8.182 Å, b = 8.182 Å, c = 7.999 Å
α = 119.26°, β = 119.26°, γ = 90.70°
Element x y z (fractional)
Sc  0.000  0.500  0.000
Tl  0.500  0.000  0.000
S  0.770  0.730  0.531
Tl  0.000  0.000  0.500
S  0.230  0.270  0.031
S  0.195  0.724  0.960
S  0.230  0.270  0.469
Sc  0.000  0.500  0.500
S  0.805  0.276  0.040
S  0.776  0.305  0.540
Tl  0.500  0.500  0.000
S  0.770  0.730  0.969
Tl  0.500  0.000  0.500
In  0.500  0.500  0.500
In  0.000  0.000  0.000
S  0.224  0.695  0.460

---

# 3
# CeHoSc

Crystalline CeHoSc at its relaxed geometry (PBE, Alexandria).

Calculated values
D(E_F) ... 2.513 states/eV/atom
DFT total energy ... -0.2026 Ha/atom
ρ ... 6.9 g cm⁻³
Energy of formation ... 101 meV per atom
Space group ... P2/m, No. 10
Total magnetization ... 0.45 μB/f.u.
Energy above the most stable polymorph in this dataset ... 31 meV/atom

a = 5.419 Å, b = 5.416 Å, c = 6.577 Å
α = 90.00°, β = 90.00°, γ = 60.09°
Element x y z (fractional)
Ho  0.910  0.531  0.520
Sc  0.576  0.197  0.269
Sc  0.576  0.196  0.771
Ce  0.226  0.848  0.020
Ho  0.241  0.862  0.520
Ce  0.926  0.545  0.020

---

# 4
# Pa4Sb2H

Crystalline Pa4Sb2H at its relaxed geometry (PBE, Alexandria).

Calculated values
D(E_F) ... 2.082 states/eV/atom
DFT total energy ... -0.2722 Ha/atom
ρ ... 11.9 g cm⁻³
Space group ... I4/mmm, No. 139
Total magnetization ... 0.14 μB/f.u.

a = 4.516 Å, b = 4.516 Å, c = 8.633 Å
α = 105.16°, β = 105.16°, γ = 90.00°
Element x y z (fractional)
Pa  0.842  0.842  0.684
Pa  0.500  0.000  0.000
Sb  0.355  0.355  0.709
Pa  0.000  0.500  0.000
Sb  0.645  0.645  0.291
H  0.000  0.000  0.000
Pa  0.158  0.158  0.316

---

# 5
# Ba2InBi2

Crystalline Ba2InBi2 at its relaxed geometry (PBE, Alexandria).

Calculated values
D(E_F) ... 0.564 states/eV/atom
DFT total energy ... -0.1294 Ha/atom
ρ ... 6.6 g cm⁻³
Energy of formation ... -652 meV per atom
Space group ... C2/m, No. 12
Total magnetization ... 0.00 μB/f.u.
Energy above the most stable polymorph in this dataset ... 37 meV/atom

a = 4.951 Å, b = 7.155 Å, c = 12.521 Å
α = 82.28°, β = 78.60°, γ = 69.76°
Element x y z (fractional)
Ba  0.315  0.716  0.654
Ba  0.917  0.252  0.914
Ba  0.685  0.284  0.346
In  0.567  0.153  0.713
Bi  0.938  0.714  0.409
Bi  0.330  0.208  0.132
Ba  0.083  0.748  0.086
Bi  0.670  0.792  0.868
Bi  0.062  0.286  0.591
In  0.433  0.847  0.287

---

# 6
# Ta3InH3

Crystalline Ta3InH3 at its relaxed geometry (PBE, Alexandria).

Calculated values
D(E_F) ... 0.127 states/eV/atom
DFT total energy ... -0.2558 Ha/atom
ρ ... 13.3 g cm⁻³
Space group ... Pm-3n, No. 223
Total magnetization ... 0.00 μB/f.u.

a = 5.490 Å, b = 5.490 Å, c = 5.490 Å
α = 90.00°, β = 90.00°, γ = 90.00°
Element x y z (fractional)
Ta  0.000  0.250  0.500
Ta  0.250  0.500  0.000
H  0.500  0.250  0.000
H  0.750  0.000  0.500
In  0.500  0.500  0.500
H  0.000  0.500  0.250
In  0.000  0.000  0.000
Ta  0.500  0.000  0.750
Ta  0.500  0.000  0.250
H  0.000  0.500  0.750
Ta  0.000  0.750  0.500
H  0.500  0.750  0.000
Ta  0.750  0.500  0.000
H  0.250  0.000  0.500

---

# 7
# Hf7In2

Crystalline Hf7In2 at its relaxed geometry (PBE, Alexandria).

Calculated values
D(E_F) ... 1.147 states/eV/atom
DFT total energy ... -0.3069 Ha/atom
ρ ... 12.1 g cm⁻³
Energy of formation ... -1 meV per atom
Space group ... P-31m, No. 162
Total magnetization ... 1.75 μB/f.u.

a = 5.565 Å, b = 5.565 Å, c = 7.546 Å
α = 90.00°, β = 90.00°, γ = 120.00°
Element x y z (fractional)
Hf  0.000  0.667  0.339
Hf  0.333  0.000  0.661
Hf  0.667  0.000  0.339
Hf  0.000  0.333  0.661
Hf  0.000  0.000  0.000
Hf  0.333  0.333  0.339
In  0.333  0.667  0.000
In  0.667  0.333  0.000
Hf  0.667  0.667  0.661

---

# 8
# TiMnNiIr

Crystalline TiMnNiIr at its relaxed geometry (PBE, Alexandria).

Calculated values
D(E_F) ... 0.737 states/eV/atom
DFT total energy ... -0.3063 Ha/atom
ρ ... 10.6 g cm⁻³
Energy of formation ... -408 meV per atom
Space group ... F-43m, No. 216
Total magnetization ... 4.14 μB/f.u.

a = 4.285 Å, b = 4.285 Å, c = 4.285 Å
α = 60.00°, β = 60.00°, γ = 60.00°
Element x y z (fractional)
Ni  0.500  0.500  0.500
Mn  0.750  0.750  0.750
Ti  0.250  0.250  0.250
Ir  0.000  0.000  0.000

---

# 9
# VZnPtAu

Crystalline VZnPtAu at its relaxed geometry (PBE, Alexandria).

Calculated values
D(E_F) ... 1.178 states/eV/atom
DFT total energy ... -0.1883 Ha/atom
ρ ... 13.6 g cm⁻³
Energy of formation ... -197 meV per atom
Space group ... F-43m, No. 216
Total magnetization ... 1.70 μB/f.u.

a = 4.447 Å, b = 4.447 Å, c = 4.447 Å
α = 60.00°, β = 60.00°, γ = 60.00°
Element x y z (fractional)
Pt  0.750  0.750  0.750
Zn  0.000  0.000  0.000
Au  0.250  0.250  0.250
V  0.500  0.500  0.500

---

# 10
# YNi3Sn

Crystalline YNi3Sn at its relaxed geometry (PBE, Alexandria).

Calculated values
D(E_F) ... 0.659 states/eV/atom
DFT total energy ... -0.1661 Ha/atom
ρ ... 6.0 g cm⁻³
Energy of formation ... 1043 meV per atom
Space group ... Pm-3m, No. 221
Total magnetization ... 0.00 μB/f.u.
Energy above the most stable polymorph in this dataset ... 1145 meV/atom

a = 4.748 Å, b = 4.748 Å, c = 4.748 Å
α = 90.00°, β = 90.00°, γ = 90.00°
Element x y z (fractional)
Y  0.000  0.000  0.000
Ni  0.500  0.000  0.000
Sn  0.500  0.500  0.500
Ni  0.000  0.500  0.000
Ni  0.000  0.000  0.500

---

# 11
# Ca4TlPt

Crystalline Ca4TlPt at its relaxed geometry (PBE, Alexandria).

Calculated values
D(E_F) ... 0.677 states/eV/atom
DFT total energy ... -0.1203 Ha/atom
ρ ... 5.1 g cm⁻³
Energy of formation ... -537 meV per atom
Space group ... C2/c, No. 15
Total magnetization ... 0.00 μB/f.u.
Energy above the most stable polymorph in this dataset ... 0 meV/atom

a = 6.065 Å, b = 8.355 Å, c = 8.355 Å
α = 113.14°, β = 101.40°, γ = 101.40°
Element x y z (fractional)
Pt  0.250  0.999  0.001
Tl  0.750  0.631  0.369
Ca  0.652  0.216  0.360
Ca  0.848  0.640  0.784
Ca  0.152  0.360  0.216
Ca  0.348  0.784  0.640
Ca  0.564  0.286  0.943
Ca  0.436  0.714  0.057
Tl  0.250  0.369  0.631
Ca  0.936  0.057  0.714
Ca  0.064  0.943  0.286
Pt  0.750  0.001  0.999

---

# 12
# Sc2NbCr

Crystalline Sc2NbCr at its relaxed geometry (PBE, Alexandria).

Calculated values
D(E_F) ... 1.219 states/eV/atom
DFT total energy ... -0.2775 Ha/atom
ρ ... 5.0 g cm⁻³
Energy of formation ... 539 meV per atom
Space group ... R-3m, No. 166
Total magnetization ... 1.91 μB/f.u.
Energy above the most stable polymorph in this dataset ... 240 meV/atom

a = 10.261 Å, b = 10.261 Å, c = 10.261 Å
α = 16.72°, β = 16.72°, γ = 16.72°
Element x y z (fractional)
Sc  0.905  0.905  0.905
Sc  0.095  0.095  0.095
Nb  0.000  0.000  0.000
Cr  0.500  0.500  0.500